Entry 1:
# ScRe2I

Crystalline ScRe2I at its relaxed geometry (GGA-PBE, the Alexandria database).

Results
uncorrected formation energy = 1.286 eV/atom
E = -55.27 eV/cell
DOS at the Fermi energy = 11.44 states/eV/cell
symmetry = No. 122

Cell and atoms, written as CIF:
```
data_ScRe2I
_symmetry_space_group_name_H-M 'P 1'
_symmetry_Int_Tables_number 1
_symmetry_space_group_name_Hall 'P 1'
_cell_length_a 7.893
_cell_length_b 7.893
_cell_length_c 6.168
_cell_angle_alpha 50.22
_cell_angle_beta 50.22
_cell_angle_gamma 90.00
loop_
_atom_site_label
_atom_site_fract_x
_atom_site_fract_y
_atom_site_fract_z
I1 0.000 0.000 0.000
I2 0.750 0.250 0.500
Re1 0.647 0.125 0.250
Re2 0.103 0.625 0.250
Re3 0.375 0.353 0.750
Re4 0.875 0.897 0.750
Sc1 0.500 0.500 0.000
Sc2 0.250 0.750 0.500
```

***

Entry 2:
# KZnCd

Crystalline KZnCd at its relaxed geometry (GGA-PBE, the Alexandria database).

Results
E = -6.60 eV/cell
E_form = -0.0051 eV per atom
DOS at the Fermi energy = 3.05 states/eV/cell
symmetry = No. 12

Cell and atoms, written as CIF:
```
data_KZnCd
_symmetry_space_group_name_H-M 'P 1'
_symmetry_Int_Tables_number 1
_symmetry_space_group_name_Hall 'P 1'
_cell_length_a 4.744
_cell_length_b 6.730
_cell_length_c 7.969
_cell_angle_alpha 54.75
_cell_angle_beta 90.00
_cell_angle_gamma 69.36
loop_
_atom_site_label
_atom_site_fract_x
_atom_site_fract_y
_atom_site_fract_z
K1 0.218 0.856 0.501
K2 0.377 0.537 0.095
Zn1 0.675 0.940 0.123
Zn2 0.919 0.453 0.472
Cd1 0.036 0.219 0.914
Cd2 0.559 0.174 0.682
```

***

Entry 3:
# Ce2DyYS5

Crystalline Ce2DyYS5 at its relaxed geometry (GGA-PBE, the Alexandria database).

Results
uncorrected formation energy = -1.481 eV/atom
E = -56.90 eV/cell
DOS at the Fermi energy = 18.44 states/eV/cell
symmetry = No. 123

Cell and atoms, written as CIF:
```
data_Ce2DyYS5
_symmetry_space_group_name_H-M 'P 1'
_symmetry_Int_Tables_number 1
_symmetry_space_group_name_Hall 'P 1'
_cell_length_a 4.923
_cell_length_b 4.923
_cell_length_c 10.299
_cell_angle_alpha 90.00
_cell_angle_beta 90.00
_cell_angle_gamma 90.00
loop_
_atom_site_label
_atom_site_fract_x
_atom_site_fract_y
_atom_site_fract_z
Ce1 0.500 0.500 0.300
Ce2 0.500 0.500 0.700
Dy1 0.000 0.000 0.500
Y1 0.000 0.000 0.000
S1 0.000 0.500 0.500
S2 0.500 0.000 0.500
S3 0.000 0.000 0.756
S4 0.000 0.000 0.244
S5 0.500 0.500 0.000
```

***

Entry 4:
# Pm4Sm2Ho5

Crystalline Pm4Sm2Ho5 at its relaxed geometry (GGA-PBE, the Alexandria database).

Results
E = -49.72 eV/cell
E_form = 0.1467 eV per atom
DOS at the Fermi energy = 19.63 states/eV/cell
symmetry = No. 12

Cell and atoms, written as CIF:
```
data_Pm4Sm2Ho5
_symmetry_space_group_name_H-M 'P 1'
_symmetry_Int_Tables_number 1
_symmetry_space_group_name_Hall 'P 1'
_cell_length_a 3.477
_cell_length_b 8.784
_cell_length_c 12.127
_cell_angle_alpha 96.73
_cell_angle_beta 98.24
_cell_angle_gamma 90.00
loop_
_atom_site_label
_atom_site_fract_x
_atom_site_fract_y
_atom_site_fract_z
Pm1 0.679 0.471 0.357
Pm2 0.046 0.358 0.091
Pm3 0.321 0.529 0.643
Pm4 0.954 0.642 0.909
Sm1 0.910 0.260 0.820
Sm2 0.090 0.740 0.180
Ho1 0.142 0.116 0.284
Ho2 0.858 0.884 0.716
Ho3 0.232 0.828 0.464
Ho4 0.500 0.000 0.000
Ho5 0.768 0.172 0.536
```

***

Entry 5:
# Ga2SnI

Crystalline Ga2SnI at its relaxed geometry (GGA-PBE, the Alexandria database).

Results
uncorrected formation energy = 0.173 eV/atom
E = -10.92 eV/cell
DOS at the Fermi energy = 2.13 states/eV/cell
symmetry = No. 225

Cell and atoms, written as CIF:
```
data_Ga2SnI
_symmetry_space_group_name_H-M 'P 1'
_symmetry_Int_Tables_number 1
_symmetry_space_group_name_Hall 'P 1'
_cell_length_a 5.321
_cell_length_b 5.321
_cell_length_c 5.321
_cell_angle_alpha 60.00
_cell_angle_beta 60.00
_cell_angle_gamma 60.00
loop_
_atom_site_label
_atom_site_fract_x
_atom_site_fract_y
_atom_site_fract_z
I1 0.500 0.500 0.500
Sn1 0.000 0.000 0.000
Ga1 0.250 0.250 0.250
Ga2 0.750 0.750 0.750
```

***

Entry 6:
# Mn2BiOs2

Crystalline Mn2BiOs2 at its relaxed geometry (GGA-PBE, the Alexandria database).

Results
E = -83.50 eV/cell
E_form = 0.5862 eV per atom
DOS at the Fermi energy = 11.93 states/eV/cell
symmetry = No. 127

Cell and atoms, written as CIF:
```
data_Mn2BiOs2
_symmetry_space_group_name_H-M 'P 1'
_symmetry_Int_Tables_number 1
_symmetry_space_group_name_Hall 'P 1'
_cell_length_a 7.498
_cell_length_b 7.498
_cell_length_c 2.802
_cell_angle_alpha 90.00
_cell_angle_beta 90.00
_cell_angle_gamma 90.00
loop_
_atom_site_label
_atom_site_fract_x
_atom_site_fract_y
_atom_site_fract_z
Mn1 0.343 0.843 0.000
Mn2 0.843 0.657 0.000
Mn3 0.657 0.157 0.000
Mn4 0.157 0.343 0.000
Os1 0.128 0.628 0.500
Os2 0.628 0.872 0.500
Os3 0.872 0.372 0.500
Os4 0.372 0.128 0.500
Bi1 0.000 0.000 0.000
Bi2 0.500 0.500 0.000
```

***

Entry 7:
# SnBiPb5

Crystalline SnBiPb5 at its relaxed geometry (GGA-PBE, the Alexandria database).

Results
E = -51.82 eV/cell
E_form = 0.0737 eV per atom
DOS at the Fermi energy = 6.94 states/eV/cell
symmetry = No. 15

Cell and atoms, written as CIF:
```
data_SnBiPb5
_symmetry_space_group_name_H-M 'P 1'
_symmetry_Int_Tables_number 1
_symmetry_space_group_name_Hall 'P 1'
_cell_length_a 6.992
_cell_length_b 6.992
_cell_length_c 11.888
_cell_angle_alpha 80.65
_cell_angle_beta 80.65
_cell_angle_gamma 53.58
loop_
_atom_site_label
_atom_site_fract_x
_atom_site_fract_y
_atom_site_fract_z
Sn1 0.231 0.769 0.250
Sn2 0.769 0.231 0.750
Bi1 0.000 0.000 0.000
Bi2 0.000 0.000 0.500
Pb1 0.746 0.776 0.191
Pb2 0.373 0.359 0.530
Pb3 0.776 0.746 0.691
Pb4 0.723 0.277 0.250
Pb5 0.641 0.627 0.970
Pb6 0.359 0.373 0.030
Pb7 0.277 0.723 0.750
Pb8 0.224 0.254 0.309
Pb9 0.627 0.641 0.470
Pb10 0.254 0.224 0.809
```

***

Entry 8:
# AcAgF6

Crystalline AcAgF6 at its relaxed geometry (GGA-PBE, the Alexandria database).

Results
uncorrected formation energy = -2.537 eV/atom
E = -38.48 eV/cell
DOS at the Fermi energy = 3.29 states/eV/cell
symmetry = No. 12

Cell and atoms, written as CIF:
```
data_AcAgF6
_symmetry_space_group_name_H-M 'P 1'
_symmetry_Int_Tables_number 1
_symmetry_space_group_name_Hall 'P 1'
_cell_length_a 5.912
_cell_length_b 4.609
_cell_length_c 4.609
_cell_angle_alpha 93.33
_cell_angle_beta 101.22
_cell_angle_gamma 101.22
loop_
_atom_site_label
_atom_site_fract_x
_atom_site_fract_y
_atom_site_fract_z
Ac1 0.500 0.500 0.500
Ag1 0.000 0.000 0.000
F1 0.977 0.685 0.685
F2 0.689 0.680 0.076
F3 0.311 0.320 0.924
F4 0.023 0.315 0.315
F5 0.311 0.924 0.320
F6 0.689 0.076 0.680
```